(1)
The following is a DFT calculation (PBE) of an optimized crystal structure of Dy6ZnAu5.

Lattice parameters (Å, degrees): 5.0962 15.3472 7.1328 90.00 90.00 90.00
Space group Cmmm (No. 65)
Symmetry-distinct sites (fractional):
Dy1 0.0000 0.0000 0.2462 [4 per cell]
Dy2 0.0000 0.3324 0.2511 [8 per cell]
Zn1 0.0000 0.5000 0.5000 [2 per cell]
Au1 0.0000 0.1565 0.5000 [4 per cell]
Au2 0.0000 0.1688 0.0000 [4 per cell]
Au3 0.0000 0.5000 0.0000 [2 per cell]

Results
- ρ (g/cm3) = 12.1
- V (Å³/f.u.) = 279
- E_tot (eV per atom) = -4.55
- energy relative to the elements (eV per atom) = -0.779



(2)
The following is a DFT calculation (PBE) of an optimized crystal structure of Dy3ZnAu.

Lattice parameters (Å, degrees): 5.0764 19.3349 5.0780 90.00 90.00 90.00
Space group Cmcm (No. 63)
Symmetry-distinct sites (fractional):
Dy1 0.0000 0.0647 0.2500 [4 per cell]
Dy2 0.0000 0.2489 0.2500 [4 per cell]
Dy3 0.0000 0.4319 0.2500 [4 per cell]
Zn1 0.0000 0.1542 0.7500 [4 per cell]
Au1 0.0000 0.3388 0.7500 [4 per cell]

Results
- E above lowest polymorph (meV/atom) = 0
- ρ (g/cm3) = 10.0
- V (Å³/f.u.) = 125
- E_tot (eV per atom) = -4.13
- energy relative to the elements (eV per atom) = -0.462



(3)
The following is a DFT calculation (PBE) of an optimized crystal structure of DyZn6Au4.

Lattice parameters (Å, degrees): 7.4950 7.4950 4.1061 90.00 90.00 120.00
Space group P-6m2 (No. 187)
Symmetry-distinct sites (fractional):
Dy1 0.0000 0.0000 0.0000 [1 per cell]
Zn1 0.2044 0.4089 0.5000 [3 per cell]
Zn2 0.5387 0.0773 0.0000 [3 per cell]
Au1 0.3333 0.6667 0.0000 [1 per cell]
Au2 0.3823 0.1912 0.5000 [3 per cell]

Results
- ρ (g/cm3) = 11.2
- V (Å³/f.u.) = 200
- E_tot (eV per atom) = -2.65
- energy relative to the elements (eV per atom) = -0.343



(4)
The following is a DFT calculation (PBE) of an optimized crystal structure of Dy4ZnAu3.

Lattice parameters (Å, degrees): 3.7185 4.6639 11.0214 90.00 90.00 90.00
Space group Pmm2 (No. 25)
Symmetry-distinct sites (fractional):
Dy1 0.0000 0.0000 0.0000 [1 per cell]
Dy2 0.0000 0.5000 0.2788 [1 per cell]
Dy3 0.5000 0.0000 0.4979 [1 per cell]
Dy4 0.5000 0.5000 0.7794 [1 per cell]
Zn1 0.0000 0.0000 0.7212 [1 per cell]
Au1 0.0000 0.5000 0.5592 [1 per cell]
Au2 0.5000 0.0000 0.2275 [1 per cell]
Au3 0.5000 0.5000 0.0519 [1 per cell]

Results
- E above lowest polymorph (meV/atom) = 7
- ρ (g/cm3) = 11.3
- V (Å³/f.u.) = 191
- E_tot (eV per atom) = -4.42
- energy relative to the elements (eV per atom) = -0.730



(5)
The following is a DFT calculation (PBE) of an optimized crystal structure of DyZn3Au.

Lattice parameters (Å, degrees): 7.7715 6.2109 4.7020 90.00 126.13 90.00
Space group Cm (No. 8)
Symmetry-distinct sites (fractional):
Dy1 0.0000 0.0000 0.0000 [2 per cell]
Zn1 0.2032 0.5000 0.2092 [2 per cell]
Zn2 0.4946 0.1969 0.4940 [4 per cell]
Au1 0.3002 0.0000 0.7963 [2 per cell]

Results
- E above lowest polymorph (meV/atom) = 26
- ρ (g/cm3) = 10.1
- V (Å³/f.u.) = 92
- E_tot (eV per atom) = -2.74
- energy relative to the elements (eV per atom) = -0.400



(6)
The following is a DFT calculation (PBE) of an optimized crystal structure of DyZrAu.

Lattice parameters (Å, degrees): 4.6921 4.6921 3.9553 90.00 90.00 120.00
Space group P-6m2 (No. 187)
Symmetry-distinct sites (fractional):
Dy1 0.0000 0.0000 0.0000 [1 per cell]
Zr1 0.3333 0.6667 0.5000 [1 per cell]
Au1 0.6667 0.3333 0.5000 [1 per cell]

Results
- E above lowest polymorph (meV/atom) = 235
- ρ (g/cm3) = 9.9
- V (Å³/f.u.) = 75
- E_tot (eV per atom) = -5.71
- energy relative to the elements (eV per atom) = -0.234



(7)
The following is a DFT calculation (PBE) of an optimized crystal structure of DyZrAu.

Lattice parameters (Å, degrees): 4.4179 4.4179 7.4469 90.00 90.00 90.00
Space group P4/nmm (No. 129, origin choice 2)
Symmetry-distinct sites (fractional):
Dy1 0.2500 0.2500 0.1431 [2 per cell]
Zr1 0.2500 0.7500 0.5000 [2 per cell]
Au1 0.2500 0.2500 0.7618 [2 per cell]

Results
- E above lowest polymorph (meV/atom) = 0
- ρ (g/cm3) = 10.3
- V (Å³/f.u.) = 73
- E_tot (eV per atom) = -5.95
- energy relative to the elements (eV per atom) = -0.470



(8)
The following is a DFT calculation (PBE) of an optimized crystal structure of DyZrAu.

Lattice parameters (Å, degrees): 3.4228 3.4228 12.0314 90.00 90.00 90.00
Space group I4mm (No. 107)
Symmetry-distinct sites (fractional):
Dy1 0.0000 0.0000 0.0000 [2 per cell]
Zr1 0.0000 0.0000 0.6880 [2 per cell]
Au1 0.0000 0.0000 0.3292 [2 per cell]

Results
- E above lowest polymorph (meV/atom) = 60
- ρ (g/cm3) = 10.6
- V (Å³/f.u.) = 70
- E_tot (eV per atom) = -5.89
- energy relative to the elements (eV per atom) = -0.410



(9)
The following is a DFT calculation (PBE) of an optimized crystal structure of Dy2ZrAu.

Lattice parameters (Å, degrees): 3.4583 3.4583 8.4260 90.00 90.00 90.00
Space group P4/mmm (No. 123)
Symmetry-distinct sites (fractional):
Dy1 0.0000 0.0000 0.2282 [2 per cell]
Zr1 0.5000 0.5000 0.5000 [1 per cell]
Au1 0.5000 0.5000 0.0000 [1 per cell]

Results
- ρ (g/cm3) = 10.1
- V (Å³/f.u.) = 101
- E_tot (eV per atom) = -5.63
- energy relative to the elements (eV per atom) = -0.375



(10)
The following is a DFT calculation (PBE) of an optimized crystal structure of Er2Au13.

Lattice parameters (Å, degrees): 7.4303 7.4303 19.3483 90.00 90.00 120.00
Space group R-3m (No. 166, hexagonal axes)
Symmetry-distinct sites (fractional):
Er1 0.0000 0.0000 0.1626 [6 per cell]
Au1 0.0000 0.0000 0.0000 [3 per cell]
Au2 0.0737 0.5368 0.2278 [18 per cell]
Au3 0.0798 0.5399 0.3783 [18 per cell]

Results
- E above lowest polymorph (meV/atom) = 0
- ρ (g/cm3) = 15.6
- V (Å³/f.u.) = 308
- E_tot (eV per atom) = -3.71
- energy relative to the elements (eV per atom) = -0.258



(11)
The following is a DFT calculation (PBE) of an optimized crystal structure of Er4Au.

Lattice parameters (Å, degrees): 5.5033 5.5033 5.5033 90.00 90.00 90.00
Space group Pm-3m (No. 221)
Symmetry-distinct sites (fractional):
Er1 0.0000 0.0000 0.0000 [1 per cell]
Er2 0.0000 0.5000 0.5000 [3 per cell]
Au1 0.5000 0.5000 0.5000 [1 per cell]

Results
- E above lowest polymorph (meV/atom) = 215
- ρ (g/cm3) = 8.6
- V (Å³/f.u.) = 167
- E_tot (eV per atom) = -4.32
- energy relative to the elements (eV per atom) = -0.016



(12)
The following is a DFT calculation (PBE) of an optimized crystal structure of Er5Au.

Lattice parameters (Å, degrees): 4.5413 14.9396 4.8060 90.00 90.00 90.00
Space group Cmmm (No. 65)
Symmetry-distinct sites (fractional):
Er1 0.0000 0.0000 0.0000 [2 per cell]
Er2 0.0000 0.1586 0.5000 [4 per cell]
Er3 0.0000 0.3301 0.0000 [4 per cell]
Au1 0.0000 0.5000 0.5000 [2 per cell]

Results
- ρ (g/cm3) = 10.5
- V (Å³/f.u.) = 163
- E_tot (eV per atom) = -4.50
- energy relative to the elements (eV per atom) = -0.151